Here is Pu3HPt2Rh3 after structural relaxation from Alexandria via LeMat-Bulk. Energies are from GGA-PBE.

Its total moment is 14.08 μB/f.u. For the total energy, the calculation gives -0.3461 Ha/atom. The density of states at the Fermi level is 3.111 states/eV per atom. Its crystal system is hexagonal.

It has space group P-62m (No. 189), with a = 6.9969 Å, b = 6.9969 Å, c = 3.7668 Å, α = 90.00°, β = 90.00° and γ = 120.00°. The distinct sites, in fractional coordinates, are Pu at (0.0000, 0.3567, 0.0000), H at (0.0000, 0.0000, 0.0000), Pt at (0.3333, 0.6667, 0.5000) and Rh at (0.0000, 0.7741, 0.5000).